Entry 1:
The following is a DFT calculation (PBE-GGA) of a geometry-optimized CrCuIr2 structure.

Its energy of formation is 0.166 eV per atom. The total energy comes out at -7.69 eV per atom. The total magnetization is 0.00 μB/cell.

The space group is Cmmm (No. 65) and the conventional cell measures 2.7502, 4.5370 and 8.7920 Å, with angles of 90.00, 90.00 and 90.00 degrees. The asymmetric unit holds Cr at (0.0000, 0.0000, 0.0000), Cu at (0.0000, 0.0000, 0.5000) and Ir at (0.0000, 0.5000, 0.2420).



Entry 2:
The following is a DFT calculation (PBE-GGA) of a geometry-optimized CrCu4Ir structure.

Its energy of formation is 0.182 eV per atom. The total energy comes out at -5.63 eV per atom. The total magnetization is 14.26 μB/cell.

The space group is F-43m (No. 216) and the conventional cell measures 6.7513, 6.7513 and 6.7513 Å, with angles of 90.00, 90.00 and 90.00 degrees. The asymmetric unit holds Cr at (0.0000, 0.0000, 0.0000), Cu at (0.1249, 0.1249, 0.3751) and Ir at (0.2500, 0.2500, 0.7500).



Entry 3:
The following is a DFT calculation (PBE-GGA) of a geometry-optimized CrCuIr structure.

Its energy of formation is 0.056 eV per atom. The total energy comes out at -7.47 eV per atom. The energy relative to the lowest polymorph listed for this composition is 0.063 eV/atom. The total magnetization is 3.08 μB/cell.

The space group is C2/m (No. 12) and the conventional cell measures 8.2758, 3.6669 and 5.3525 Å, with angles of 90.00, 107.92 and 90.00 degrees. The asymmetric unit holds Cr at (0.1653, 0.0000, 0.0821), Cu at (0.1726, 0.0000, 0.5801) and Ir at (0.0122, 0.5000, 0.7584).